Record 1
First-principles (PBE+U) data for crystalline CrCuPO2 at its relaxed geometry, as listed in Alexandria.

Results
- offset from the most stable computed form (meV/atom) = 0

Structure (extended XYZ):
```
5
Lattice="3.579 0.000 0.000 0.000 3.579 0.000 0.000 0.000 5.395" Properties=species:S:1:pos:R:3 pbc="T T T"
Cr 0.000 0.000 0.000
Cu 1.789 1.789 2.697
O 1.789 0.000 0.000
O 0.000 1.789 0.000
P 0.000 0.000 2.697
```

=====

Record 2
First-principles (PBE+U) data for crystalline Cr2CuPO at its relaxed geometry, as listed in Alexandria.

Results
- raw total energy (eV per atom) = -5.580

Structure (extended XYZ):
```
5
Lattice="4.944 0.000 0.000 0.000 3.418 0.000 0.000 0.000 4.944" Properties=species:S:1:pos:R:3 pbc="T T T"
O 0.000 1.709 0.000
Cu 0.000 0.000 0.000
Cr 0.000 0.000 2.472
Cr 2.472 0.000 0.000
P 2.472 1.709 2.472
```

=====

Record 3
First-principles (PBE+U) data for crystalline CrCu3P4O16 at its relaxed geometry, as listed in Alexandria.

Results
- raw total energy (eV per atom) = -6.599

Structure (extended XYZ):
```
24
Lattice="5.980 0.000 0.000 0.000 5.101 0.087 0.000 0.482 10.077" Properties=species:S:1:pos:R:3 pbc="T T T"
Cu 2.990 4.603 3.244
Cu 2.990 3.743 8.226
Cu 0.000 1.957 1.928
P 2.990 2.368 1.197
P 0.000 3.289 9.021
P 2.990 0.705 6.065
P 0.000 4.863 4.065
O 0.000 1.809 8.728
O 2.990 2.686 9.734
O 1.733 1.396 6.657
O 2.990 0.769 4.514
O 0.000 4.644 5.579
O 0.000 1.282 3.678
O 1.808 1.573 1.816
O 4.172 1.573 1.816
O 0.000 3.094 0.455
O 4.835 4.151 8.323
O 4.787 4.121 3.390
O 1.145 4.151 8.323
O 2.990 4.277 6.474
O 1.193 4.121 3.390
O 2.990 3.876 1.509
O 4.247 1.396 6.657
Cr 0.000 0.540 7.174
```